# 1
LuSc3Sn2C2, relaxed, DFT PBE; crystal system = trigonal; electronic total energy = -6.9044 eV/atom; total magnetic moment = 0.00 μB/atom
1.0
3.413 0.000 0.000
-1.707 2.956 0.000
0.000 0.000 15.050
Sc Lu C Sn
3 1 2 2
Cartesian
1.707 0.985 1.278
1.707 0.985 6.308
0.000 0.000 8.710
0.000 0.000 13.808
0.000 1.971 0.069
0.000 1.971 7.511
1.707 0.985 11.198
0.000 0.000 3.794



# 2
KAgPtSe2S, relaxed, DFT PBE; crystal system = orthorhombic; electronic total energy = -3.8543 eV/atom; total magnetic moment = 0.02 μB/atom
1.0
2.150 6.642 -2.620
-3.396 -4.057 5.254
9.028 -0.892 5.147
Pt K Ag Se S
2 2 2 4 2
Cartesian
3.891 0.847 3.891
-0.623 1.292 1.317
3.076 3.851 0.557
4.706 -2.157 7.224
8.588 5.330 1.713
-0.806 -3.637 6.068
6.168 4.951 0.941
10.397 4.533 3.352
-2.616 -2.840 4.430
1.613 -3.258 6.841
1.343 0.509 3.016
6.438 1.184 4.765